# KPtI (GGA-PBE, optimized geometry)
# Energy above the most stable polymorph in this dataset = 0.022 eV per atom
# SG = P1, No. 1
# Calculated total energy = -3.43 eV/atom
# Total moment = 0.0 μB per cell
# V = 35.02 Å³ per atom
data_KPtI
_chemical_formula_sum 'K2 Pt2 I2'
_cell_length_a 3.961
_cell_length_b 5.699
_cell_length_c 9.700
_cell_angle_alpha 73.62
_cell_angle_beta 89.91
_cell_angle_gamma 90.00
_space_group_name_H-M_alt 'P 1'
_space_group_IT_number 1
loop_
_space_group_symop_operation_xyz
'x,y,z'
loop_
_atom_site_label
_atom_site_fract_x
_atom_site_fract_y
_atom_site_fract_z
K1 0.000 0.000 0.000
K2 0.001 0.198 0.577
Pt1 0.000 0.590 0.810
Pt2 0.500 0.501 0.999
I1 0.501 0.684 0.607
I2 0.999 0.404 0.200